10
Lattice="3.8707 0.0000 0.0000 0.0000 7.9393 0.0000 0.0000 0.0000 7.9393" Properties=species:S:1:pos:R:3 comment="NdHo2Pd2 (PBE, optimized geometry)" space_group=P4/mbm m_tot_mub_per_cell=0.00 final_energy_ev_per_atom=-5.55 delta_e_f_ev_per_atom=-0.6906 pbc="T T T"
Nd 1.9354 3.9696 0.0000
Nd 1.9354 0.0000 3.9696
Ho 0.0000 5.2626 2.6767
Ho 0.0000 6.6464 6.6464
Ho 0.0000 1.2929 1.2929
Ho 0.0000 2.6767 5.2626
Pd 1.9354 2.9425 2.9425
Pd 1.9354 6.9121 1.0272
Pd 1.9354 1.0272 6.9121
Pd 1.9354 4.9968 4.9968

***

12
Lattice="6.1685 -0.0037 -0.0037 -3.0860 5.3411 -0.0037 -1.0278 -1.7796 11.6228" Properties=species:S:1:pos:R:3 comment="Tb6Pm3Sm2Tl (PBE, optimized geometry)" space_group=C2/m m_tot_mub_per_cell=0.00 final_energy_ev_per_atom=-4.51 delta_e_f_ev_per_atom=-0.0240 pbc="T T T"
Tb 3.0658 1.8101 8.7537
Tb 2.0717 3.5872 2.8726
Tb -1.0111 1.7477 2.8617
Tb 0.0357 3.5601 8.7537
Tb -0.0170 -0.0294 8.7429
Tb 2.0191 -0.0023 2.8617
Pm -2.0502 3.5563 5.8077
Pm 4.1049 0.0015 5.8077
Pm 1.0274 1.7789 5.8077
Sm 0.0009 3.5583 -0.0037
Sm 3.0817 1.7791 -0.0037
Tl 0.0000 0.0000 0.0000

***

6
Lattice="1.6343 3.3910 2.8169 -4.5133 0.0101 -1.3173 -1.0206 -2.3977 3.4785" Properties=species:S:1:pos:R:3 comment="SiRh5 (PBE, optimized geometry)" space_group=P-62m m_tot_mub_per_cell=0.00 final_energy_ev_per_atom=-7.22 pbc="T T T"
Si -0.5103 -1.1988 1.7392
Rh 1.0919 2.2657 1.8821
Rh -0.9555 1.1287 0.4977
Rh -3.0155 0.0067 -0.8801
Rh -0.9252 1.0652 3.1781
Rh -2.9744 -0.0618 1.8000

***

8
Lattice="-3.1834 -0.7507 3.9552 1.3807 -3.0959 3.8536 2.0436 3.7310 5.6829" Properties=species:S:1:pos:R:3 comment="FeIrRh6 (PBE, optimized geometry)" space_group=R-3m m_tot_mub_per_cell=0.52 final_energy_ev_per_atom=-6.79 delta_e_f_ev_per_atom=0.8876 pbc="T T T"
Fe 0.1204 -0.0578 6.7459
Ir 0.0000 0.0000 0.0000
Rh -0.2633 -0.9978 11.2013
Rh 1.2784 -0.6342 9.2858
Rh 1.1729 -0.6173 4.1568
Rh -1.0375 0.5185 4.2060
Rh 0.5042 0.8821 2.2905
Rh -0.9320 0.5016 9.3350

***

Which formula does entry 4 have? FeIrRh6